This record from Alexandria describes HfGaNiAg after structural relaxation. The functional is PBE.

Calculated values
E_form ... -236 meV per atom
E ... -5.639 eV/atom
SG ... F-43m (216)
DOS at the Fermi energy ... 1.887 states/eV per cell

Structure (POSCAR):
```
HfGaNiAg
1.0
0.000 3.180 3.180
3.180 0.000 3.180
3.180 3.180 0.000
Hf Ga Ni Ag
1 1 1 1
direct
0.000 0.000 0.000
0.500 0.500 0.500
0.750 0.750 0.750
0.250 0.250 0.250
```